A geometry-optimized DyAgNO structure. Source: OQMD, functional PBE.

## Properties
* ΔE to the lowest computed polymorph: 0.319 eV per atom
* crystal system: orthorhombic

Cell lengths 4.813, 7.073, 7.109 Å; angles 90.00, 90.00, 90.00 degrees
Element x y z (fractional)
Ag (0.449, 0.676, 0.121)
Ag (0.949, 0.676, 0.379)
Ag (0.449, 0.324, 0.621)
Ag (0.949, 0.324, 0.879)
Dy (0.448, 0.155, 0.081)
Dy (0.948, 0.155, 0.419)
Dy (0.448, 0.845, 0.581)
Dy (0.948, 0.845, 0.919)
N (0.948, 0.118, 0.099)
N (0.448, 0.118, 0.401)
N (0.948, 0.882, 0.599)
N (0.448, 0.882, 0.901)
O (0.952, 0.590, 0.092)
O (0.452, 0.590, 0.408)
O (0.952, 0.410, 0.592)
O (0.452, 0.410, 0.908)